# LiMnPO4 | Alexandria | GGA+U | relaxed
data_LiMnPO4
_space_group_name_H-M_alt 'P 1 c 1'
_space_group_IT_number 7
_cell_length_a 8.862
_cell_length_b 5.179
_cell_length_c 8.648
_cell_angle_alpha 90.00
_cell_angle_beta 107.82
_cell_angle_gamma 90.00
loop_
_space_group_symop_operation_xyz
'x,y,z'
'x,-y,z+1/2'
loop_
_atom_site_label
_atom_site_fract_x
_atom_site_fract_y
_atom_site_fract_z
Li1 0.000 0.178 0.000
Li2 0.492 0.315 0.375
Mn1 0.248 0.182 0.764
Mn2 0.740 0.322 0.134
P1 0.122 0.311 0.377
P2 0.620 0.188 0.763
O1 0.098 0.174 0.527
O2 0.138 0.393 0.906
O3 0.273 0.204 0.343
O4 0.478 0.308 0.809
O5 0.595 0.108 0.238
O6 0.635 0.314 0.605
O7 0.771 0.251 0.905
O8 0.979 0.246 0.225
# **Crystal system**: monoclinic
# **Energy above the most stable polymorph in this dataset**: 5 kJ/mol of formula units
# **Total moment**: 20.0 μB per cell